8
Lattice="2.903 0.000 0.000 0.000 4.419 0.000 0.000 0.000 8.891" Properties=species:S:1:pos:R:3 comment="AlAgRh2 meta-GGA SCAN single point on PBEsol structure" sg="No. 44" m_tot_mub_per_fu=0.00 dos_at_fermi_per_ev_atom=0.94 e_form_ev_per_atom=-0.2887 pbc="T T T"
Al 0.000 0.000 0.000
Al 1.452 2.209 4.445
Ag 0.000 2.209 2.262
Ag 1.452 0.000 6.708
Rh 0.000 0.000 4.295
Rh 0.000 2.209 6.460
Rh 1.452 0.000 2.015
Rh 1.452 2.209 8.740